Computed, not measured: a relaxed structure of Li4PtRh at the PBE-GGA level of DFT.

Its total moment is 0.09 μB per formula unit. The calculation puts the total DFT energy (no corrections) at -3.84 eV per atom. The formation enthalpy at 0 K is -0.333 eV/atom. For the excess energy over the best structure of this formula in the dataset, the calculation gives 0.00 eV/f.u.

```
data_Li4PtRh
_chemical_formula_sum 'Li8 Pt2 Rh2'
_symmetry_space_group_name_H-M 'P 1 21/m 1'
_symmetry_Int_Tables_number 11
_symmetry_space_group_name_Hall '-P 2yb'
_cell_length_a 5.156
_cell_length_b 4.266
_cell_length_c 7.872
_cell_angle_alpha 90.00
_cell_angle_beta 109.09
_cell_angle_gamma 90.00
loop_
_atom_site_label
_atom_site_fract_x
_atom_site_fract_y
_atom_site_fract_z
Li1 0.040 0.250 0.084
Li2 0.205 0.250 0.416
Li3 0.293 0.750 0.584
Li4 0.458 0.750 0.916
Pt1 0.378 0.750 0.257
Rh1 0.129 0.250 0.757
```



Computed, not measured: a relaxed structure of Rb2NaTeAs at the PBE-GGA level of DFT.

For the formation energy from raw total energies, the calculation gives -0.226 eV per atom. Its total moment is 2.00 μB per formula unit. The calculation puts the total DFT energy (no corrections) at -2.44 eV per atom.

```
data_Rb2NaTeAs
_chemical_formula_sum 'Rb2 Na1 Te1 As1'
_symmetry_space_group_name_H-M 'P 4/m m m'
_symmetry_Int_Tables_number 123
_symmetry_space_group_name_Hall '-P 4 2'
_cell_length_a 6.997
_cell_length_b 6.997
_cell_length_c 5.743
_cell_angle_alpha 90.00
_cell_angle_beta 90.00
_cell_angle_gamma 90.00
loop_
_atom_site_label
_atom_site_fract_x
_atom_site_fract_y
_atom_site_fract_z
Rb1 0.000 0.500 0.000
Na1 0.000 0.000 0.500
Te1 0.000 0.000 0.000
As1 0.500 0.500 0.500
```